A plane-wave DFT calculation with PBE-GGA was carried out for a geometry-optimized Tb6Sm3Y2In structure.

space-group type: No. 12
crystal system: monoclinic
E: -0.3558 Ry/atom

Cell lengths 6.1466, 6.1466, 11.7184 Å; angles 95.04, 95.04, 120.04 degrees
Positions (direct):
Tb  0.7537  0.7537  0.2467
Tb  0.4083  0.0809  0.2451
Y  0.3339  0.6661  0.0000
Y  0.6661  0.3339  0.0000
Tb  0.0809  0.4083  0.2451
Tb  0.5917  0.9191  0.7549
Sm  0.1675  0.8325  0.5000
Sm  0.8325  0.1675  0.5000
Tb  0.2463  0.2463  0.7533
Tb  0.9191  0.5917  0.7549
Sm  0.5000  0.5000  0.5000
In  0.0000  0.0000  0.0000